Material: TaTlFeTc
Method: DFT, PBE
State: relaxed

a b c (Å): 6.473 6.473 6.473
angles (deg): 90.00 90.00 90.00
Space group F-43m (No. 216)
Inequivalent atoms, fractional coordinates:
Ta1 0.000 0.000 0.000 [4 per cell]
Tl1 0.250 0.250 0.250 [4 per cell]
Fe1 0.000 0.000 0.500 [4 per cell]
Tc1 0.250 0.250 0.750 [4 per cell]

## Properties
calculated density = 13.20 Mg/m³
energy above the most stable polymorph in this dataset = 0.2776 eV per atom

=====

Material: TaTlFeTc
Method: DFT, PBE
State: relaxed

a b c (Å): 6.365 6.365 6.365
angles (deg): 90.00 90.00 90.00
Space group F-43m (No. 216)
Inequivalent atoms, fractional coordinates:
Ta1 0.000 0.000 0.000 [4 per cell]
Tl1 0.000 0.000 0.500 [4 per cell]
Fe1 0.250 0.250 0.750 [4 per cell]
Tc1 0.250 0.250 0.250 [4 per cell]

## Properties
calculated density = 13.89 Mg/m³
energy above the most stable polymorph in this dataset = 0.0000 eV per atom

=====

Material: Ta4FeTe4
Method: DFT, PBE
State: relaxed

a b c (Å): 10.782 18.792 4.859
angles (deg): 90.00 90.00 90.00
Space group Pbam (No. 55)
Inequivalent atoms, fractional coordinates:
Ta1 0.066 0.116 0.000 [4 per cell]
Ta2 0.097 0.892 0.500 [4 per cell]
Ta3 0.190 0.056 0.500 [4 per cell]
Ta4 0.203 0.963 0.000 [4 per cell]
Fe1 0.000 0.000 0.250 [4 per cell]
Te1 0.113 0.201 0.500 [4 per cell]
Te2 0.149 0.434 0.500 [4 per cell]
Te3 0.167 0.812 0.000 [4 per cell]
Te4 0.170 0.597 0.000 [4 per cell]

## Properties
calculated density = 8.70 Mg/m³
electronic total energy = -7.976 eV/atom

=====

Material: ThTaFe
Method: DFT, PBE
State: relaxed

a b c (Å): 6.358 6.358 6.358
angles (deg): 90.00 90.00 90.00
Space group F-43m (No. 216)
Inequivalent atoms, fractional coordinates:
Th1 0.000 0.000 0.000 [4 per cell]
Ta1 0.000 0.000 0.500 [4 per cell]
Fe1 0.250 0.250 0.750 [4 per cell]

## Properties
calculated density = 12.11 Mg/m³
ΔE_f = 439 meV/atom
energy above the most stable polymorph in this dataset = 0.0000 eV per atom

=====

Question: Among the records above, which one has the lowest calculated density?
Answer: Ta4FeTe4

=====

Please write out number 4 again, unchanged.
Material: ThTaFe
Method: DFT, PBE
State: relaxed

a b c (Å): 6.358 6.358 6.358
angles (deg): 90.00 90.00 90.00
Space group F-43m (No. 216)
Inequivalent atoms, fractional coordinates:
Th1 0.000 0.000 0.000 [4 per cell]
Ta1 0.000 0.000 0.500 [4 per cell]
Fe1 0.250 0.250 0.750 [4 per cell]

## Properties
calculated density = 12.11 Mg/m³
ΔE_f = 439 meV/atom
energy above the most stable polymorph in this dataset = 0.0000 eV per atom

=====

Copy entry 2 word for word.
Material: TaTlFeTc
Method: DFT, PBE
State: relaxed

a b c (Å): 6.365 6.365 6.365
angles (deg): 90.00 90.00 90.00
Space group F-43m (No. 216)
Inequivalent atoms, fractional coordinates:
Ta1 0.000 0.000 0.000 [4 per cell]
Tl1 0.000 0.000 0.500 [4 per cell]
Fe1 0.250 0.250 0.750 [4 per cell]
Tc1 0.250 0.250 0.250 [4 per cell]

## Properties
calculated density = 13.89 Mg/m³
energy above the most stable polymorph in this dataset = 0.0000 eV per atom